The following is a PBE calculation of Rb3Ce2MnS6 after structural relaxation, from Alexandria via LeMat-Bulk.

Computed properties:
Symmetry: C2/m, No. 12
Energy relative to the elements, uncorrected, eV per atom: -1.4515
DOS at the Fermi energy, states/eV/cell: 6.29
Total energy, eV/atom: -5.510
Crystal system: monoclinic

Cell: 7.095 7.095 7.996 Å, 98.50 98.50 119.98°
Last column: magnetic moment on the atom in μB.
Atoms (fractional coordinates):
S  0.614  0.937  0.811  0.00
S  0.261  0.261  0.811  0.00
S  0.063  0.386  0.189  0.00
S  0.739  0.739  0.189  0.00
S  0.386  0.063  0.189  0.00
S  0.937  0.614  0.811  0.00
Ce  0.667  0.333  0.000  0.61
Ce  0.333  0.667  0.000  0.61
Rb  0.500  0.500  0.500  0.00
Rb  0.166  0.834  0.500  0.00
Rb  0.834  0.166  0.500  0.00
Mn  0.000  0.000  0.000  4.31